PWSeN2: relaxed, GGA-PBE.

Cell and atoms, written as POSCAR:
```
PWSeN2
1.0
-0.513 -3.187 -1.634
3.568 -0.596 0.043
-0.406 -2.121 4.265
P Se W N
1 1 1 2
direct
0.000 0.000 0.000 P
0.000 0.000 0.500 Se
0.500 0.500 0.500 W
0.000 0.500 0.000 N
0.500 0.000 0.000 N
```

Computed properties:
DFT total energy, eV/f.u.: -31.02
Total moment, μB/f.u.: 1.46
ΔE_f (raw), eV per atom: 1.495

***

PWSe2N: relaxed, GGA-PBE.

Cell and atoms, written as POSCAR:
```
PWSe2N
1.0
-2.376 1.877 -3.918
-4.127 0.421 2.704
0.887 2.980 0.890
P Se W N
1 2 1 1
direct
0.000 0.000 0.000 P
0.000 0.500 0.000 Se
0.500 0.000 0.000 Se
0.500 0.500 0.500 W
0.000 0.000 0.500 N
```

Computed properties:
DFT total energy, eV/f.u.: -28.78
Total moment, μB/f.u.: 2.14
ΔE_f (raw), eV per atom: 0.975

***

PWSeN2: relaxed, GGA-PBE.

Cell and atoms, written as POSCAR:
```
PWSeN2
1.0
-0.651 -2.213 -3.124
2.925 -2.332 1.042
-3.442 -3.036 2.869
P Se W N
1 1 1 2
direct
0.500 0.500 0.500 P
0.000 0.000 0.500 Se
0.000 0.000 0.000 W
0.000 0.500 0.000 N
0.500 0.000 0.000 N
```

Computed properties:
DFT total energy, eV/f.u.: -35.02
Total moment, μB/f.u.: 0.96
ΔE_f (raw), eV per atom: 0.696

***

PWSe2N: relaxed, GGA-PBE.

Cell and atoms, written as POSCAR:
```
PWSe2N
1.0
5.039 0.000 0.000
0.000 5.039 0.000
0.000 0.000 3.791
P Se W N
1 2 1 1
direct
0.500 0.500 0.500 P
0.000 0.500 0.000 Se
0.500 0.000 0.000 Se
0.000 0.000 0.000 W
0.000 0.000 0.500 N
```

Computed properties:
DFT total energy, eV/f.u.: -30.77
Total moment, μB/f.u.: 0.00
ΔE_f (raw), eV per atom: 0.577

***

YPSe2N: relaxed, GGA-PBE.

Cell and atoms, written as POSCAR:
```
YPSe2N
1.0
-3.596 1.950 -3.718
2.757 -2.596 -4.027
-2.342 -3.309 0.530
Y P Se N
1 1 2 1
direct
0.000 0.000 0.000 Y
0.500 0.500 0.500 P
0.000 0.500 0.000 Se
0.500 0.000 0.000 Se
0.000 0.000 0.500 N
```

Computed properties:
DFT total energy, eV/f.u.: -23.61
Total moment, μB/f.u.: 0.16
ΔE_f (raw), eV per atom: 0.711

***

Y8P3Se3N: relaxed, GGA-PBE.

Cell and atoms, written as POSCAR:
```
Y8P3Se3N
1.0
-1.036 5.506 5.568
-4.501 -6.491 -0.022
7.771 -0.589 2.029
Y P Se N
8 3 3 1
direct
0.258 0.515 0.273 Y
0.742 0.485 0.727 Y
0.775 0.550 0.287 Y
0.225 0.450 0.713 Y
0.775 0.012 0.287 Y
0.225 0.988 0.713 Y
0.237 0.012 0.287 Y
0.763 0.988 0.713 Y
0.500 0.000 0.500 P
0.500 0.500 0.500 P
0.000 0.500 0.500 P
0.000 0.000 0.000 Se
0.000 0.500 0.000 Se
0.500 0.500 0.000 Se
0.000 0.000 0.500 N
```

Computed properties:
DFT total energy, eV/f.u.: -110.41
Total moment, μB/f.u.: 0.00
ΔE_f (raw), eV per atom: -1.579

***

YPSe2N: relaxed, GGA-PBE.

Cell and atoms, written as POSCAR:
```
YPSe2N
1.0
5.056 0.000 0.000
0.000 5.056 0.000
0.000 0.000 3.523
Y P Se N
1 1 2 1
direct
0.500 0.500 0.500 Y
0.000 0.000 0.000 P
0.000 0.500 0.000 Se
0.500 0.000 0.000 Se
0.000 0.000 0.500 N
```

Computed properties:
DFT total energy, eV/f.u.: -28.41
Total moment, μB/f.u.: 0.00
ΔE_f (raw), eV per atom: -0.249

***

SiP3N: relaxed, GGA-PBE.

Cell and atoms, written as POSCAR:
```
SiP3N
1.0
4.051 0.000 0.000
0.000 4.051 0.000
0.000 0.000 4.051
P Si N
3 1 1
direct
0.000 0.500 0.000 P
0.000 0.000 0.500 P
0.500 0.000 0.000 P
0.500 0.500 0.500 Si
0.000 0.000 0.000 N
```

Computed properties:
DFT total energy, eV/f.u.: -25.13
Total moment, μB/f.u.: 0.00
ΔE_f (raw), eV per atom: 0.969

***

SiPN2: relaxed, GGA-PBE.

Cell and atoms, written as POSCAR:
```
SiPN2
1.0
-2.892 2.656 -0.792
-1.926 -2.118 -0.071
-0.933 0.616 6.954
Si P N
2 2 4
direct
0.409 0.000 0.285 Si
0.409 0.500 0.785 Si
0.073 0.000 0.988 P
0.073 0.500 0.488 P
0.767 0.000 0.522 N
0.767 0.500 0.022 N
0.641 0.000 0.709 N
0.641 0.500 0.209 N
```

Computed properties:
DFT total energy, eV/f.u.: -26.27
Total moment, μB/f.u.: 0.00
ΔE_f (raw), eV per atom: 0.304

***

SiPN: relaxed, GGA-PBE.

Cell and atoms, written as POSCAR:
```
SiPN
1.0
6.859 0.000 0.006
0.000 2.852 0.000
-0.056 0.000 4.926
Si P N
2 2 2
direct
0.241 0.000 0.522 Si
0.241 0.500 0.022 Si
0.905 0.000 0.516 P
0.905 0.500 0.016 P
0.324 0.000 0.857 N
0.324 0.500 0.357 N
```

Computed properties:
DFT total energy, eV/f.u.: -20.21
Total moment, μB/f.u.: 0.00
ΔE_f (raw), eV per atom: -0.349

***

SiPN2: relaxed, GGA-PBE.

Cell and atoms, written as POSCAR:
```
SiPN2
1.0
1.599 0.000 5.553
-0.800 1.385 5.553
-0.800 -1.385 5.553
P Si N
1 1 2
direct
0.000 0.000 0.000 P
0.500 0.500 0.500 Si
0.892 0.892 0.892 N
0.108 0.108 0.108 N
```

Computed properties:
DFT total energy, eV/f.u.: -28.57
Total moment, μB/f.u.: 0.00
ΔE_f (raw), eV per atom: -0.272

***

SiPN: relaxed, GGA-PBE.

Cell and atoms, written as POSCAR:
```
SiPN
1.0
2.642 0.000 0.000
0.000 2.722 0.000
0.000 0.000 11.708
Si P N
2 2 2
direct
0.000 0.000 0.610 Si
0.000 0.500 0.110 Si
0.500 0.000 0.858 P
0.500 0.500 0.358 P
0.000 0.000 0.767 N
0.000 0.500 0.267 N
```

Computed properties:
DFT total energy, eV/f.u.: -18.65
Total moment, μB/f.u.: 0.00
ΔE_f (raw), eV per atom: 0.169